<w>
CsTeAuI2 | PBE | relaxed

```
data_CsTeAuI2
_chemical_formula_sum 'Cs1 Te1 Au1 I2'
_cell_length_a 5.9344
_cell_length_b 5.9344
_cell_length_c 5.5797
_cell_angle_alpha 90.00
_cell_angle_beta 90.00
_cell_angle_gamma 90.00
_symmetry_space_group_name_H-M 'P 1'
_symmetry_Int_Tables_number 1
_symmetry_space_group_name_Hall 'P 1'
loop_
_atom_site_label
_atom_site_type_symbol
_atom_site_fract_x
_atom_site_fract_y
_atom_site_fract_z
Cs1 Cs 0.5000 0.5000 0.5000
I1 I 0.5000 0.0000 0.0000
I2 I 0.0000 0.5000 0.0000
Au1 Au 0.0000 0.0000 0.0000
Te1 Te 0.0000 0.0000 0.5000
```

Space-group type: No. 123
Density of states at the Fermi level, states/eV/cell: 5.3



<x>
CsTeAuI2 | PBE | relaxed

```
data_CsTeAuI2
_chemical_formula_sum 'Cs1 Te1 Au1 I2'
_cell_length_a 6.5099
_cell_length_b 6.5099
_cell_length_c 5.2472
_cell_angle_alpha 90.00
_cell_angle_beta 90.00
_cell_angle_gamma 90.00
_symmetry_space_group_name_H-M 'P 1'
_symmetry_Int_Tables_number 1
_symmetry_space_group_name_Hall 'P 1'
loop_
_atom_site_label
_atom_site_type_symbol
_atom_site_fract_x
_atom_site_fract_y
_atom_site_fract_z
Te1 Te 0.0000 0.0000 0.0000
I1 I 0.5000 0.0000 0.0000
I2 I 0.0000 0.5000 0.0000
Au1 Au 0.0000 0.0000 0.5000
Cs1 Cs 0.5000 0.5000 0.5000
```

Space-group type: No. 123
Density of states at the Fermi level, states/eV/cell: 1.9



Quick ranking, most stable first: <x>, <w>.